Model 1:
The following is a DFT calculation (PBE-GGA) of crystalline Zn3Ag2Pd at its relaxed geometry.

a = 6.872 Å, b = 6.872 Å, c = 6.761 Å
α = 90.00°, β = 90.00°, γ = 144.04°
Atoms (fractional coordinates):
1 Zn 0.000 0.000 0.244
2 Zn 0.000 0.000 0.756
3 Zn 0.327 0.673 0.234
4 Zn 0.327 0.673 0.766
5 Zn 0.673 0.327 0.234
6 Zn 0.673 0.327 0.766
7 Ag 0.165 0.835 0.500
8 Ag 0.500 0.500 0.000
9 Ag 0.500 0.500 0.500
10 Ag 0.835 0.165 0.500
11 Pd 0.161 0.839 0.000
12 Pd 0.839 0.161 0.000

Results
theoretical density	9.2	g/cm³
D(E_F)	2.92	states/eV/cell

=====

Model 2:
The following is a DFT calculation (PBE-GGA) of crystalline Zn3Ag2Pd at its relaxed geometry.

a = 3.065 Å, b = 3.065 Å, c = 9.973 Å
α = 90.00°, β = 90.00°, γ = 90.00°
Atoms (fractional coordinates):
1 Zn 0.000 0.000 0.000
2 Zn 0.000 0.000 0.346
3 Zn 0.000 0.000 0.654
4 Ag 0.500 0.500 0.173
5 Ag 0.500 0.500 0.827
6 Pd 0.500 0.500 0.500

Results
theoretical density	9.2	g/cm³
D(E_F)	0.98	states/eV/cell

=====

Of them, model 2 has the highest stability.

=====

Model 1:
The following is a DFT calculation (PBE-GGA) of crystalline ZnAg2Pd4 at its relaxed geometry.

a = 6.759 Å, b = 6.759 Å, c = 6.759 Å
α = 109.78°, β = 109.78°, γ = 108.86°
Atoms (fractional coordinates):
1 Zn 0.000 0.000 0.000
2 Zn 0.750 0.250 0.500
3 Ag 0.261 0.625 0.136
4 Ag 0.375 0.511 0.636
5 Ag 0.489 0.125 0.864
6 Ag 0.875 0.739 0.364
7 Pd 0.105 0.204 0.743
8 Pd 0.112 0.711 0.757
9 Pd 0.289 0.046 0.401
10 Pd 0.461 0.362 0.257
11 Pd 0.638 0.895 0.099
12 Pd 0.645 0.888 0.599
13 Pd 0.796 0.539 0.901
14 Pd 0.954 0.355 0.243

Results
theoretical density	9.9	g/cm³
D(E_F)	3.72	states/eV/cell

=====

Model 2:
The following is a DFT calculation (PBE-GGA) of crystalline ZnAg2Pd4 at its relaxed geometry.

a = 6.092 Å, b = 6.092 Å, c = 4.608 Å
α = 90.00°, β = 90.00°, γ = 127.87°
Atoms (fractional coordinates):
1 Zn 0.000 0.000 0.000
2 Ag 0.376 0.624 0.500
3 Ag 0.624 0.376 0.500
4 Pd 0.120 0.880 0.500
5 Pd 0.238 0.762 0.000
6 Pd 0.762 0.238 0.000
7 Pd 0.880 0.120 0.500

Results
theoretical density	8.7	g/cm³
D(E_F)	4.58	states/eV/cell

=====

Of them, model 1 has the highest stability.

=====

Model 1:
The following is a DFT calculation (PBE-GGA) of crystalline ZrAgPd2 at its relaxed geometry.

a = 4.628 Å, b = 4.628 Å, c = 4.628 Å
α = 60.00°, β = 60.00°, γ = 60.00°
Atoms (fractional coordinates):
1 Zr 0.000 0.000 0.000
2 Ag 0.500 0.500 0.500
3 Pd 0.250 0.250 0.250
4 Pd 0.750 0.750 0.750

Results
theoretical density	9.8	g/cm³
D(E_F)	2.86	states/eV/cell

=====

Model 2:
The following is a DFT calculation (PBE-GGA) of crystalline ZrAgPd2 at its relaxed geometry.

a = 4.764 Å, b = 5.808 Å, c = 4.980 Å
α = 90.00°, β = 90.00°, γ = 90.00°
Atoms (fractional coordinates):
1 Zr 0.250 0.250 0.173
2 Zr 0.750 0.750 0.827
3 Ag 0.250 0.750 0.186
4 Ag 0.750 0.250 0.814
5 Pd 0.250 0.000 0.677
6 Pd 0.250 0.500 0.677
7 Pd 0.750 0.000 0.323
8 Pd 0.750 0.500 0.323

Results
theoretical density	9.9	g/cm³
D(E_F)	3.99	states/eV/cell

=====

Model 3:
The following is a DFT calculation (PBE-GGA) of crystalline ZrAgPd2 at its relaxed geometry.

a = 4.445 Å, b = 4.445 Å, c = 3.532 Å
α = 90.00°, β = 90.00°, γ = 90.00°
Atoms (fractional coordinates):
1 Zr 0.000 0.000 0.000
2 Ag 0.500 0.500 0.000
3 Pd 0.000 0.500 0.500
4 Pd 0.500 0.000 0.500

Results
theoretical density	9.8	g/cm³
D(E_F)	3.30	states/eV/cell

=====

Of them, model 2 has the highest stability.

=====

Model 1:
The following is a DFT calculation (PBE-GGA) of crystalline ZrAgPd2 at its relaxed geometry.

a = 5.902 Å, b = 5.902 Å, c = 5.902 Å
α = 103.69°, β = 103.69°, γ = 121.79°
Atoms (fractional coordinates):
1 Zr 0.000 0.000 0.000
2 Zr 0.750 0.250 0.500
3 Ag 0.250 0.750 0.500
4 Ag 0.500 0.500 0.000
5 Pd 0.116 0.625 0.991
6 Pd 0.375 0.366 0.491
7 Pd 0.634 0.125 0.009
8 Pd 0.875 0.884 0.509

Results
theoretical density	9.0	g/cm³
D(E_F)	4.84	states/eV/cell

=====

Model 2:
The following is a DFT calculation (PBE-GGA) of crystalline ZrAgPd2 at its relaxed geometry.

a = 10.843 Å, b = 10.843 Å, c = 4.800 Å
α = 90.00°, β = 90.00°, γ = 164.27°
Atoms (fractional coordinates):
1 Zr 0.202 0.798 0.750
2 Zr 0.798 0.202 0.250
3 Ag 0.465 0.535 0.750
4 Ag 0.535 0.465 0.250
5 Pd 0.329 0.671 0.750
6 Pd 0.404 0.596 0.250
7 Pd 0.596 0.404 0.750
8 Pd 0.671 0.329 0.250

Results
theoretical density	8.9	g/cm³
D(E_F)	5.19	states/eV/cell

=====

Of them, model 2 has the highest stability.

=====

Model 1:
The following is a DFT calculation (PBE-GGA) of crystalline Zr2AgPd2 at its relaxed geometry.

a = 7.551 Å, b = 7.551 Å, c = 3.368 Å
α = 90.00°, β = 90.00°, γ = 90.00°
Atoms (fractional coordinates):
1 Zr 0.172 0.328 0.000
2 Zr 0.328 0.828 0.000
3 Zr 0.672 0.172 0.000
4 Zr 0.828 0.672 0.000
5 Ag 0.000 0.000 0.500
6 Ag 0.500 0.500 0.500
7 Pd 0.129 0.629 0.500
8 Pd 0.371 0.129 0.500
9 Pd 0.629 0.871 0.500
10 Pd 0.871 0.371 0.500

Results
theoretical density	8.7	g/cm³
D(E_F)	10.63	states/eV/cell

=====

Model 2:
The following is a DFT calculation (PBE-GGA) of crystalline Zr2AgPd2 at its relaxed geometry.

a = 5.969 Å, b = 5.969 Å, c = 5.969 Å
α = 133.63°, β = 133.63°, γ = 67.67°
Atoms (fractional coordinates):
1 Zr 0.250 0.750 0.500
2 Zr 0.750 0.250 0.500
3 Ag 0.000 0.000 0.000
4 Pd 0.375 0.375 0.000
5 Pd 0.625 0.625 0.000

Results
theoretical density	7.6	g/cm³
D(E_F)	4.23	states/eV/cell

=====

Of them, model 1 has the highest stability.

=====

Model 1:
The following is a DFT calculation (PBE-GGA) of crystalline PmAg6 at its relaxed geometry.

a = 6.376 Å, b = 6.376 Å, c = 6.376 Å
α = 90.00°, β = 90.00°, γ = 90.00°
Atoms (fractional coordinates):
1 Pm 0.000 0.000 0.000
2 Ag 0.198 0.500 0.500
3 Ag 0.500 0.198 0.500
4 Ag 0.500 0.500 0.198
5 Ag 0.500 0.500 0.802
6 Ag 0.500 0.802 0.500
7 Ag 0.802 0.500 0.500

Results
theoretical density	5.1	g/cm³
D(E_F)	7.71	states/eV/cell

=====

Model 2:
The following is a DFT calculation (PBE-GGA) of crystalline PmAg6 at its relaxed geometry.

a = 8.929 Å, b = 5.713 Å, c = 11.281 Å
α = 90.00°, β = 90.00°, γ = 90.00°
Atoms (fractional coordinates):
1 Pm 0.243 0.250 0.068
2 Pm 0.257 0.750 0.568
3 Pm 0.743 0.250 0.432
4 Pm 0.757 0.750 0.932
5 Ag 0.062 0.009 0.308
6 Ag 0.062 0.491 0.308
7 Ag 0.066 0.750 0.086
8 Ag 0.106 0.250 0.520
9 Ag 0.146 0.750 0.850
10 Ag 0.185 0.250 0.765
11 Ag 0.315 0.750 0.265
12 Ag 0.354 0.250 0.350
13 Ag 0.394 0.750 0.020
14 Ag 0.434 0.250 0.586
15 Ag 0.438 0.509 0.808
16 Ag 0.438 0.991 0.808
17 Ag 0.562 0.009 0.192
18 Ag 0.562 0.491 0.192
19 Ag 0.566 0.750 0.414
20 Ag 0.606 0.250 0.980
21 Ag 0.646 0.750 0.650
22 Ag 0.685 0.250 0.735
23 Ag 0.815 0.750 0.235
24 Ag 0.854 0.250 0.150
25 Ag 0.894 0.750 0.480
26 Ag 0.934 0.250 0.914
27 Ag 0.938 0.509 0.692
28 Ag 0.938 0.991 0.692

Results
theoretical density	9.1	g/cm³
D(E_F)	8.21	states/eV/cell

=====

Model 3:
The following is a DFT calculation (PBE-GGA) of crystalline PmAg6 at its relaxed geometry.

a = 6.356 Å, b = 6.356 Å, c = 6.356 Å
α = 109.47°, β = 109.47°, γ = 109.47°
Atoms (fractional coordinates):
1 Pm 0.000 0.000 0.000
2 Ag 0.250 0.500 0.750
3 Ag 0.250 0.750 0.500
4 Ag 0.500 0.250 0.750
5 Ag 0.500 0.750 0.250
6 Ag 0.750 0.250 0.500
7 Ag 0.750 0.500 0.250

Results
theoretical density	6.7	g/cm³
D(E_F)	6.10	states/eV/cell

=====

Of them, model 2 has the highest stability.